Record 1
First-principles (PBE-GGA) data for a relaxed structure of ZnMoCl2, as listed in Alexandria via LeMat-Bulk.

Results
raw formation energy = 0.43 eV per atom
energy above the lowest structure with this stoichiometry = 756.1 meV/atom

Geometry as CIF:
```
data_ZnMoCl2
_chemical_formula_sum 'Zn2 Mo2 Cl4'
_cell_length_a 3.842
_cell_length_b 3.842
_cell_length_c 11.303
_cell_angle_alpha 90.00
_cell_angle_beta 90.00
_cell_angle_gamma 90.00
_space_group_name_H-M_alt 'I -4 m 2'
_space_group_IT_number 119
_space_group_name_Hall 'I -4 -2'
loop_
_atom_site_label
_atom_site_type_symbol
_atom_site_fract_x
_atom_site_fract_y
_atom_site_fract_z
Zn1 Zn 0.000 0.000 0.000
Mo1 Mo 0.000 0.500 0.250
Cl1 Cl 0.000 0.000 0.500
Cl2 Cl 0.000 0.500 0.750
```

=====

Record 2
First-principles (PBE-GGA) data for a relaxed structure of SrFe2Br, as listed in Alexandria via LeMat-Bulk.

Results
raw formation energy = 0.37 eV per atom
energy above the lowest structure with this stoichiometry = 332.2 meV/atom

Geometry as CIF:
```
data_SrFe2Br
_chemical_formula_sum 'Sr2 Fe4 Br2'
_cell_length_a 5.673
_cell_length_b 11.971
_cell_length_c 3.600
_cell_angle_alpha 90.00
_cell_angle_beta 129.00
_cell_angle_gamma 90.00
_space_group_name_H-M_alt 'C 1 2/m 1'
_space_group_IT_number 12
loop_
_space_group_symop_operation_xyz
'x,y,z'
'-x,-y,-z'
'-x,y,-z'
'x,-y,z'
'x+1/2,y+1/2,z'
'-x+1/2,-y+1/2,-z'
'-x+1/2,y+1/2,-z'
'x+1/2,-y+1/2,z'
loop_
_atom_site_label
_atom_site_type_symbol
_atom_site_fract_x
_atom_site_fract_y
_atom_site_fract_z
Sr1 Sr 0.000 0.000 0.000
Fe1 Fe 0.250 0.250 0.500
Br1 Br 0.000 0.500 0.000
```

=====

Record 3
First-principles (PBE-GGA) data for a relaxed structure of TlCuTeS2, as listed in Alexandria via LeMat-Bulk.

Results
raw formation energy = -0.09 eV per atom
energy above the lowest structure with this stoichiometry = 0.0 meV/atom

Geometry as CIF:
```
data_TlCuTeS2
_chemical_formula_sum 'Tl2 Cu2 Te2 S4'
_cell_length_a 7.690
_cell_length_b 4.808
_cell_length_c 8.111
_cell_angle_alpha 90.00
_cell_angle_beta 105.89
_cell_angle_gamma 90.00
_space_group_name_H-M_alt 'P 1 2/c 1'
_space_group_IT_number 13
loop_
_space_group_symop_operation_xyz
'x,y,z'
'-x,-y,-z'
'-x,y,-z+1/2'
'x,-y,z+1/2'
loop_
_atom_site_label
_atom_site_type_symbol
_atom_site_fract_x
_atom_site_fract_y
_atom_site_fract_z
Tl1 Tl 0.000 0.241 0.250
Cu1 Cu 0.500 0.000 0.000
Te1 Te 0.500 0.327 0.250
S1 S 0.244 0.221 0.971
```

=====

Record 4
First-principles (PBE-GGA) data for a relaxed structure of AlZn2In, as listed in Alexandria via LeMat-Bulk.

Results
energy above the lowest structure with this stoichiometry = 34.0 meV/atom

Geometry as CIF:
```
data_AlZn2In
_chemical_formula_sum 'Al1 Zn2 In1'
_cell_length_a 2.895
_cell_length_b 3.996
_cell_length_c 6.450
_cell_angle_alpha 90.00
_cell_angle_beta 90.00
_cell_angle_gamma 90.00
_space_group_name_H-M_alt 'P m m 2'
_space_group_IT_number 25
loop_
_space_group_symop_operation_xyz
'x,y,z'
'-x,-y,z'
'-x,y,z'
'x,-y,z'
loop_
_atom_site_label
_atom_site_type_symbol
_atom_site_fract_x
_atom_site_fract_y
_atom_site_fract_z
Al1 Al 0.000 0.000 0.000
Zn1 Zn 0.000 0.000 0.578
Zn2 Zn 0.500 0.500 0.788
In1 In 0.500 0.500 0.292
```

=====

Record 5
First-principles (PBE-GGA) data for a relaxed structure of CaGd2Pu, as listed in Alexandria via LeMat-Bulk.

Results
energy above the lowest structure with this stoichiometry = 10.2 meV/atom

Geometry as CIF:
```
data_CaGd2Pu
_chemical_formula_sum 'Ca1 Gd2 Pu1'
_cell_length_a 5.790
_cell_length_b 5.790
_cell_length_c 3.824
_cell_angle_alpha 90.00
_cell_angle_beta 90.00
_cell_angle_gamma 90.00
_space_group_name_H-M_alt 'P 4/m m m'
_space_group_IT_number 123
_space_group_name_Hall '-P 4 2'
loop_
_atom_site_label
_atom_site_type_symbol
_atom_site_fract_x
_atom_site_fract_y
_atom_site_fract_z
Ca1 Ca 0.000 0.000 0.000
Gd1 Gd 0.000 0.500 0.500
Pu1 Pu 0.500 0.500 0.000
```

=====

Record 6
First-principles (PBE-GGA) data for a relaxed structure of MgNpPd, as listed in Alexandria via LeMat-Bulk.

Geometry as CIF:
```
data_MgNpPd
_chemical_formula_sum 'Mg4 Np4 Pd4'
_cell_length_a 3.019
_cell_length_b 15.738
_cell_length_c 4.659
_cell_angle_alpha 90.00
_cell_angle_beta 90.00
_cell_angle_gamma 90.00
_space_group_name_H-M_alt 'C m c m'
_space_group_IT_number 63
_space_group_name_Hall '-C 2c 2'
loop_
_atom_site_label
_atom_site_type_symbol
_atom_site_fract_x
_atom_site_fract_y
_atom_site_fract_z
Mg1 Mg 0.000 0.070 0.250
Np1 Np 0.000 0.244 0.750
Pd1 Pd 0.000 0.424 0.250
```

=====

Record 7
First-principles (PBE-GGA) data for a relaxed structure of Ac2Tb3Sm4, as listed in Alexandria via LeMat-Bulk.

Results
energy above the lowest structure with this stoichiometry = 72.3 meV/atom

Geometry as CIF:
```
data_Ac2Tb3Sm4
_chemical_formula_sum 'Ac4 Tb6 Sm8'
_cell_length_a 8.809
_cell_length_b 8.812
_cell_length_c 8.963
_cell_angle_alpha 90.00
_cell_angle_beta 111.64
_cell_angle_gamma 90.00
_space_group_name_H-M_alt 'P 1 21/c 1'
_space_group_IT_number 14
loop_
_space_group_symop_operation_xyz
'x,y,z'
'-x,-y,-z'
'-x,y+1/2,-z+1/2'
'x,-y+1/2,z+1/2'
loop_
_atom_site_label
_atom_site_type_symbol
_atom_site_fract_x
_atom_site_fract_y
_atom_site_fract_z
Ac1 Ac 0.176 0.152 0.049
Tb1 Tb 0.249 0.673 0.252
Tb2 Tb 0.500 0.000 0.500
Sm1 Sm 0.087 0.538 0.870
Sm2 Sm 0.485 0.136 0.855
```

=====

Record 8
First-principles (PBE-GGA) data for a relaxed structure of TbCe2In, as listed in Alexandria via LeMat-Bulk.

Results
energy above the lowest structure with this stoichiometry = 213.7 meV/atom

Geometry as CIF:
```
data_TbCe2In
_chemical_formula_sum 'Tb4 Ce8 In4'
_cell_length_a 7.777
_cell_length_b 7.777
_cell_length_c 7.777
_cell_angle_alpha 90.00
_cell_angle_beta 90.00
_cell_angle_gamma 90.00
_space_group_name_H-M_alt 'F m -3 m'
_space_group_IT_number 225
_space_group_name_Hall '-F 4 2 3'
loop_
_atom_site_label
_atom_site_type_symbol
_atom_site_fract_x
_atom_site_fract_y
_atom_site_fract_z
Tb1 Tb 0.000 0.000 0.000
Ce1 Ce 0.250 0.250 0.250
In1 In 0.000 0.000 0.500
```

=====

Number 1: electronic total energy -3.517 eV per atom. Number 2: electronic total energy -4.699 eV per atom. Number 3: electronic total energy -3.662 eV per atom. Number 4: electronic total energy -2.138 eV per atom. Number 5: electronic total energy -10.889 eV per atom. Number 6: electronic total energy -6.838 eV per atom. Number 7: electronic total energy -4.401 eV per atom. Number 8: electronic total energy -4.840 eV per atom.